# 1
Density functional theory data (PBE) for a geometry-optimized Hf3BiSe structure.

a = 9.158 Å, b = 5.274 Å, c = 10.480 Å
α = 90.00°, β = 118.89°, γ = 90.00°
Space group P2_1/c (No. 14)
One atom of each set of equivalent atoms:
Hf 0.001 0.074 0.327 [4 per cell]
Hf 0.378 0.234 0.950 [4 per cell]
Hf 0.396 0.709 0.209 [4 per cell]
Bi 0.186 0.179 0.119 [4 per cell]
Se 0.270 0.734 0.906 [4 per cell]

relative energy among the computed polymorphs: 0 meV/atom

# 2
Density functional theory data (PBE) for a geometry-optimized AcDyPd3 structure.

a = 3.961 Å, b = 27.082 Å, c = 4.432 Å
α = 90.00°, β = 90.00°, γ = 90.00°
Space group Cmcm (No. 63)
One atom of each set of equivalent atoms:
Ac 0.000 0.075 0.250 [4 per cell]
Dy 0.000 0.207 0.750 [4 per cell]
Pd 0.000 0.311 0.750 [4 per cell]
Pd 0.000 0.372 0.250 [4 per cell]
Pd 0.000 0.471 0.250 [4 per cell]

formation enthalpy at 0 K: -0.85 eV per atom

# 3
Density functional theory data (PBE) for a geometry-optimized Ce5Ge5Rh2 structure.

a = 15.270 Å, b = 4.207 Å, c = 11.062 Å
α = 90.00°, β = 130.85°, γ = 90.00°
Space group C2/m (No. 12)
One atom of each set of equivalent atoms:
Ce 0.000 0.000 0.000 [2 per cell]
Ce 0.123 0.500 0.793 [4 per cell]
Ce 0.204 0.500 0.601 [4 per cell]
Ge 0.000 0.000 0.500 [2 per cell]
Ge 0.060 0.000 0.325 [4 per cell]
Ge 0.195 0.500 0.119 [4 per cell]
Rh 0.109 0.500 0.256 [4 per cell]

formation enthalpy at 0 K: -0.78 eV per atom
relative energy among the computed polymorphs: 0 meV/atom

# 4
Density functional theory data (PBE) for a geometry-optimized NiMo2Br structure.

a = 2.924 Å, b = 4.581 Å, c = 9.109 Å
α = 90.00°, β = 90.00°, γ = 90.00°
Space group Imm2 (No. 44)
One atom of each set of equivalent atoms:
Ni 0.000 0.000 0.000 [2 per cell]
Mo 0.000 0.000 0.474 [2 per cell]
Mo 0.000 0.500 0.264 [2 per cell]
Br 0.000 0.500 0.740 [2 per cell]

relative energy among the computed polymorphs: 335 meV/atom

# 5
Density functional theory data (PBE) for a geometry-optimized Rb2MoH6 structure.

a = 6.3183 Å, b = 6.3183 Å, c = 8.4129 Å
α = 90.00°, β = 90.00°, γ = 120.00°
Space group P6_3mc (No. 186)
One atom of each set of equivalent atoms:
Rb 0.0000 0.0000 0.0000 [2 per cell]
Rb 0.3333 0.6667 0.2570 [2 per cell]
Mo 0.3333 0.6667 0.7196 [2 per cell]
H 0.1210 0.5605 0.5638 [6 per cell]
H 0.1717 0.3434 0.7446 [6 per cell]

DFT total energy: -3.599 eV per atom

# 6
Density functional theory data (PBE) for a geometry-optimized Ni4IrRh3 structure.

a = 8.080 Å, b = 3.762 Å, c = 7.528 Å
α = 90.00°, β = 117.71°, γ = 90.00°
Space group C2/m (No. 12)
One atom of each set of equivalent atoms:
Ni 0.250 0.000 0.124 [4 per cell]
Ni 0.250 0.000 0.626 [4 per cell]
Ir 0.000 0.500 0.000 [2 per cell]
Rh 0.000 0.500 0.500 [2 per cell]
Rh 0.002 0.000 0.250 [4 per cell]

formation enthalpy at 0 K: 0.04 eV per atom

# 7
Density functional theory data (PBE) for a geometry-optimized BeAlNi2Hg structure.

a = 4.768 Å, b = 4.768 Å, c = 4.744 Å
α = 90.00°, β = 90.00°, γ = 90.00°
Space group P4/mmm (No. 123)
One atom of each set of equivalent atoms:
Be 0.000 0.000 0.000 [1 per cell]
Al 0.500 0.500 0.000 [1 per cell]
Ni 0.000 0.500 0.500 [2 per cell]
Hg 0.500 0.500 0.500 [1 per cell]

formation enthalpy at 0 K: 1.45 eV per atom

# 8
Density functional theory data (PBE) for a geometry-optimized Sr2HgS structure.

a = 4.2515 Å, b = 4.2515 Å, c = 24.7290 Å
α = 90.00°, β = 90.00°, γ = 120.00°
Space group R-3m (No. 166, hexagonal axes)
One atom of each set of equivalent atoms:
Sr 0.0000 0.0000 0.2378 [6 per cell]
Hg 0.0000 0.0000 0.0000 [3 per cell]
S 0.0000 0.0000 0.5000 [3 per cell]

relative energy among the computed polymorphs: 0 meV/atom

# 9
Density functional theory data (PBE) for a geometry-optimized Na2Li5InHg2 structure.

a = 11.053 Å, b = 11.053 Å, c = 3.679 Å
α = 90.00°, β = 90.00°, γ = 90.00°
Space group P4/mbm (No. 127)
One atom of each set of equivalent atoms:
Na 0.175 0.325 0.000 [4 per cell]
Li 0.000 0.500 0.500 [2 per cell]
Li 0.061 0.802 0.500 [8 per cell]
In 0.000 0.000 0.000 [2 per cell]
Hg 0.126 0.626 0.000 [4 per cell]

formation enthalpy at 0 K: -0.19 eV per atom

# 10
Density functional theory data (PBE) for a geometry-optimized SrHfSe2 structure.

a = 7.127 Å, b = 7.127 Å, c = 7.127 Å
α = 90.00°, β = 90.00°, γ = 90.00°
Space group Fm-3m (No. 225)
One atom of each set of equivalent atoms:
Sr 0.000 0.000 0.000 [4 per cell]
Hf 0.000 0.000 0.500 [4 per cell]
Se 0.250 0.250 0.250 [8 per cell]

relative energy among the computed polymorphs: 110 meV/atom

# 11
Density functional theory data (PBE) for a geometry-optimized BaY2TeAs structure.

a = 5.307 Å, b = 5.307 Å, c = 7.705 Å
α = 90.00°, β = 90.00°, γ = 90.00°
Space group P4/mmm (No. 123)
One atom of each set of equivalent atoms:
Ba 0.000 0.000 0.000 [1 per cell]
Y 0.000 0.500 0.500 [2 per cell]
Te 0.500 0.500 0.000 [1 per cell]
As 0.500 0.500 0.500 [1 per cell]

DFT total energy: -4.944 eV per atom

# 12
Density functional theory data (PBE) for a geometry-optimized AcDyHoZn structure.

a = 7.794 Å, b = 7.794 Å, c = 7.794 Å
α = 90.00°, β = 90.00°, γ = 90.00°
Space group F-43m (No. 216)
One atom of each set of equivalent atoms:
Ac 0.000 0.000 0.000 [4 per cell]
Dy 0.250 0.250 0.750 [4 per cell]
Ho 0.250 0.250 0.250 [4 per cell]
Zn 0.000 0.000 0.500 [4 per cell]

formation enthalpy at 0 K: 0.20 eV per atom

# 13
Density functional theory data (PBE) for a geometry-optimized Be2TlGe structure.

a = 6.444 Å, b = 6.444 Å, c = 6.444 Å
α = 90.00°, β = 90.00°, γ = 90.00°
Space group Fm-3m (No. 225)
One atom of each set of equivalent atoms:
Be 0.250 0.250 0.250 [8 per cell]
Tl 0.000 0.000 0.000 [4 per cell]
Ge 0.000 0.000 0.500 [4 per cell]

formation enthalpy at 0 K: 0.78 eV per atom
relative energy among the computed polymorphs: 279 meV/atom

# 14
Density functional theory data (PBE) for a geometry-optimized SrCdInHg6 structure.

a = 6.656 Å, b = 11.164 Å, c = 15.140 Å
α = 90.00°, β = 90.00°, γ = 90.00°
Space group Imma (No. 74)
One atom of each set of equivalent atoms:
Sr 0.000 0.250 0.163 [4 per cell]
Cd 0.250 0.250 0.750 [4 per cell]
In 0.000 0.000 0.500 [4 per cell]
Hg 0.000 0.250 0.402 [4 per cell]
Hg 0.000 0.250 0.944 [4 per cell]
Hg 0.233 0.016 0.848 [16 per cell]

formation enthalpy at 0 K: -0.06 eV per atom

# 15
Density functional theory data (PBE) for a geometry-optimized Mo2Os2Pt structure.

a = 7.410 Å, b = 7.410 Å, c = 2.888 Å
α = 90.00°, β = 90.00°, γ = 90.00°
Space group P4/mbm (No. 127)
One atom of each set of equivalent atoms:
Mo 0.165 0.335 0.000 [4 per cell]
Os 0.132 0.632 0.500 [4 per cell]
Pt 0.000 0.000 0.500 [2 per cell]

formation enthalpy at 0 K: 0.09 eV per atom

# 16
Density functional theory data (PBE) for a geometry-optimized ZrMnFeW structure.

a = 6.170 Å, b = 6.170 Å, c = 6.170 Å
α = 90.00°, β = 90.00°, γ = 90.00°
Space group F-43m (No. 216)
One atom of each set of equivalent atoms:
Zr 0.000 0.000 0.000 [4 per cell]
Mn 0.250 0.250 0.250 [4 per cell]
Fe 0.250 0.250 0.750 [4 per cell]
W 0.000 0.000 0.500 [4 per cell]

formation enthalpy at 0 K: 0.03 eV per atom

# 17
Density functional theory data (PBE) for a geometry-optimized RbSn2HgPb2 structure.

a = 5.750 Å, b = 5.750 Å, c = 6.882 Å
α = 90.00°, β = 90.00°, γ = 90.00°
Space group P4/mmm (No. 123)
One atom of each set of equivalent atoms:
Rb 0.000 0.000 0.000 [1 per cell]
Sn 0.000 0.500 0.500 [2 per cell]
Hg 0.000 0.000 0.500 [1 per cell]
Pb 0.500 0.500 0.263 [2 per cell]

formation enthalpy at 0 K: -0.01 eV per atom

# 18
Density functional theory data (PBE) for a geometry-optimized TbPrY2Th structure.

a = 8.589 Å, b = 6.536 Å, c = 6.308 Å
α = 90.00°, β = 97.78°, γ = 90.00°
Space group P2/c (No. 13)
One atom of each set of equivalent atoms:
Tb 0.000 0.000 0.000 [2 per cell]
Pr 0.500 0.174 0.250 [2 per cell]
Y 0.309 0.312 0.708 [4 per cell]
Th 0.000 0.441 0.250 [2 per cell]

formation enthalpy at 0 K: 0.31 eV per atom

# 19
Density functional theory data (PBE) for a geometry-optimized Sm2GaAu structure.

a = 3.621 Å, b = 3.621 Å, c = 7.526 Å
α = 90.00°, β = 90.00°, γ = 90.00°
Space group P4/mmm (No. 123)
One atom of each set of equivalent atoms:
Sm 0.000 0.000 0.250 [2 per cell]
Ga 0.500 0.500 0.000 [1 per cell]
Au 0.500 0.500 0.500 [1 per cell]

formation enthalpy at 0 K: -0.67 eV per atom

# 20
Density functional theory data (PBE) for a geometry-optimized TbSm2Y4Sc structure.

a = 5.019 Å, b = 5.019 Å, c = 10.015 Å
α = 90.00°, β = 90.00°, γ = 90.00°
Space group P4/mmm (No. 123)
One atom of each set of equivalent atoms:
Tb 0.000 0.000 0.000 [1 per cell]
Sm 0.000 0.000 0.500 [1 per cell]
Sm 0.500 0.500 0.000 [1 per cell]
Y 0.000 0.500 0.255 [4 per cell]
Sc 0.500 0.500 0.500 [1 per cell]

formation enthalpy at 0 K: 0.03 eV per atom